First-principles (PBE-GGA) data for a relaxed structure of Ac4Tl2Pb5, as listed in Alexandria.

Calculated values
The calculation puts the volume at 386.6 Å³/cell. The density of states at the Fermi level comes out at 4.03 states/eV/f.u. The calculation puts the calculated total energy at -4.04 eV/atom.

abc: 8.2633 4.8316 9.6852
angles: 90.00 91.35 90.00
Fractional coordinates of all 11 atoms:
Ac 0.2271 0.0000 0.3690
Ac 0.2406 0.0000 0.8916
Ac 0.7594 0.0000 0.1084
Ac 0.7729 0.0000 0.6310
Tl 0.0958 0.5000 0.1302
Tl 0.9042 0.5000 0.8698
Pb 0.1307 0.5000 0.6246
Pb 0.4650 0.5000 0.1635
Pb 0.5000 0.5000 0.5000
Pb 0.5350 0.5000 0.8365
Pb 0.8693 0.5000 0.3754